P) The following is a DFT calculation (GGA+U) of an optimized crystal structure of KV2NF.

CIF file:
```
data_KV2NF
_symmetry_space_group_name_H-M 'P 1'
_symmetry_Int_Tables_number 1
_symmetry_space_group_name_Hall 'P 1'
_cell_length_a 5.627
_cell_length_b 4.388
_cell_length_c 5.627
_cell_angle_alpha 90.00
_cell_angle_beta 90.00
_cell_angle_gamma 90.00
loop_
_atom_site_label
_atom_site_type_symbol
_atom_site_fract_x
_atom_site_fract_y
_atom_site_fract_z
K1 K 0.000 0.000 0.000
N1 N 0.500 0.500 0.500
V1 V 0.500 0.000 0.000
V2 V 0.000 0.000 0.500
F1 F 0.000 0.500 0.000
```

**Total moment**: 1.3785 μB per atom
**Theoretical density**: 2.08 Mg/m³

Q) The following is a DFT calculation (GGA+U) of an optimized crystal structure of KV2NF.

CIF file:
```
data_KV2NF
_symmetry_space_group_name_H-M 'P 1'
_symmetry_Int_Tables_number 1
_symmetry_space_group_name_Hall 'P 1'
_cell_length_a 3.951
_cell_length_b 7.762
_cell_length_c 3.951
_cell_angle_alpha 90.00
_cell_angle_beta 90.00
_cell_angle_gamma 90.00
loop_
_atom_site_label
_atom_site_type_symbol
_atom_site_fract_x
_atom_site_fract_y
_atom_site_fract_z
V1 V 0.000 0.000 0.500
K1 K 0.500 0.500 0.500
V2 V 0.500 0.000 0.000
F1 F 0.000 0.500 0.000
N1 N 0.000 0.000 0.000
```

**Total moment**: 1.0881 μB per atom
**Theoretical density**: 2.38 Mg/m³

Least stable structure among those shown: P).